Compound: YTeIO2
Source: the Alexandria database
Functional: PBEsol
Structure: relaxed

M_tot in μB per atom: 0.24
E_form (uncorrected) in eV/f.u.: -5.2
Space-group type: P4/mmm

abc: 4.3231 4.3231 6.5818
angles: 90.00 90.00 90.00
With the nearest neighbours (Å) after each atom.
Sites, in units of the cell vectors:
1 I 0.0000 0.0000 0.5000  4 Te 3.06, 2 Y 3.29
2 Te 0.5000 0.5000 0.5000  4 I 3.06
3 Y 0.0000 0.0000 0.0000  4 O 2.16
4 O 0.0000 0.5000 0.0000  2 Y 2.16
5 O 0.5000 0.0000 0.0000  2 Y 2.16

=====

Compound: Rb2NaZrIn
Source: the Alexandria database
Functional: PBEsol
Structure: relaxed

Energy of formation from the pure elements in eV/atom: 1.240
M_tot in μB per atom: 0.85
Space-group type: P4/mmm

abc: 6.0801 6.4926 6.4926
angles: 90.00 90.00 90.00
With the nearest neighbours (Å) after each atom.
Sites, in units of the cell vectors:
1 Zr 0.0000 0.0000 0.0000  2 Na 3.04, 4 Rb 3.25
2 Rb 0.0000 0.5000 0.0000  2 Zr 3.25
3 Rb 0.0000 0.0000 0.5000  2 Zr 3.25
4 Na 0.5000 0.0000 0.0000  2 Zr 3.04
5 In 0.5000 0.5000 0.5000  8 Rb 4.45, 4 Na 4.59

=====

Compound: TeWN2F
Source: the Alexandria database
Functional: PBEsol
Structure: relaxed

M_tot in μB per atom: 0.72
E_form (uncorrected) in eV/f.u.: 7.6
Space-group type: P4/mmm

abc: 4.0497 4.1674 4.1674
angles: 90.00 90.00 90.00
With the nearest neighbours (Å) after each atom.
Sites, in units of the cell vectors:
1 Te 0.0000 0.0000 0.0000  2 F 2.02, 4 N 2.08
2 F 0.5000 0.0000 0.0000  2 Te 2.02
3 W 0.5000 0.5000 0.5000  8 N 2.91, 4 F 2.95
4 N 0.0000 0.5000 0.0000  2 Te 2.08
5 N 0.0000 0.0000 0.5000  2 Te 2.08

=====

Compound: Dy2PdRu
Source: the Alexandria database
Functional: PBEsol
Structure: relaxed

Energy of formation from the pure elements in eV/atom: -0.610
M_tot in μB per atom: 0.00
Space-group type: Fm-3m

abc: 4.7923 4.7923 4.7923
angles: 60.00 60.00 60.00
With the nearest neighbours (Å) after each atom.
Sites, in units of the cell vectors:
1 Dy 0.7500 0.7500 0.7500  4 Ru 2.93, 4 Pd 2.93
2 Dy 0.2500 0.2500 0.2500  4 Ru 2.93, 4 Pd 2.93
3 Pd 0.0000 0.0000 0.0000  8 Dy 2.93
4 Ru 0.5000 0.5000 0.5000  8 Dy 2.93

=====

Compound: Sc2Co3Si
Source: the Alexandria database
Functional: PBEsol
Structure: relaxed

M_tot in μB per atom: 0.00
E_form (uncorrected) in eV/f.u.: -4.0
Space-group type: P6_3/mmc

abc: 4.9499 4.9499 7.3812
angles: 90.00 90.00 120.00
With the nearest neighbours (Å) after each atom.
Sites, in units of the cell vectors:
1 Co 0.8287 0.6575 0.7500  2 Si 2.36, 4 Co 2.41-2.54
2 Co 0.6575 0.8287 0.2500  2 Si 2.36, 4 Co 2.41-2.54
3 Co 0.8287 0.1713 0.7500  2 Si 2.36, 4 Co 2.41-2.54
4 Co 0.1713 0.3425 0.2500  2 Si 2.36, 4 Co 2.41-2.54
5 Co 0.3425 0.1713 0.7500  2 Si 2.36, 4 Co 2.41-2.54
6 Co 0.1713 0.8287 0.2500  2 Si 2.36, 4 Co 2.41-2.54
7 Sc 0.3333 0.6667 0.9382  9 Co 2.69-2.84, 4 Sc 2.78-3.00, 3 Si 2.89
8 Sc 0.3333 0.6667 0.5618  9 Co 2.69-2.84, 4 Sc 2.78-3.00, 3 Si 2.89
9 Sc 0.6667 0.3333 0.4382  9 Co 2.69-2.84, 4 Sc 2.78-3.00, 3 Si 2.89
10 Sc 0.6667 0.3333 0.0618  9 Co 2.69-2.84, 4 Sc 2.78-3.00, 3 Si 2.89
11 Si 0.0000 0.0000 0.0000  6 Co 2.36
12 Si 0.0000 0.0000 0.5000  6 Co 2.36

=====

Compound: LiMnZn
Source: the Alexandria database
Functional: PBEsol
Structure: relaxed

Relative energy among the computed polymorphs in eV/f.u.: 0.00
Energy of formation from the pure elements in eV/atom: 0.247
M_tot in μB per atom: 1.25
Space-group type: I4mm

abc: 3.0898 3.0898 4.8376
angles: 108.62 108.62 90.00
With the nearest neighbours (Å) after each atom.
Sites, in units of the cell vectors:
1 Mn 0.6713 0.6713 0.3425  4 Zn 2.59, 5 Li 2.66-2.80
2 Zn 0.3334 0.3334 0.6668  4 Li 2.59, 4 Mn 2.59
3 Li 0.9953 0.9953 0.9907  4 Zn 2.59, 5 Mn 2.66-2.80

=====

Compound: Mo2CN
Source: the Alexandria database
Functional: PBEsol
Structure: relaxed

M_tot in μB per atom: 0.00
E_form (uncorrected) in eV/f.u.: -1.9
Space-group type: Pmm2

abc: 2.7947 2.8743 4.9741
angles: 90.00 90.00 90.00
With the nearest neighbours (Å) after each atom.
Sites, in units of the cell vectors:
1 Mo 0.5000 0.5000 0.1669  4 C 2.17, 2 N 2.17
2 Mo 0.5000 0.0000 0.6667  2 C 2.16, 4 N 2.17
3 N 0.0000 0.5000 0.5013  6 Mo 2.17
4 C 0.0000 0.0000 0.9985  6 Mo 2.16-2.17

=====

Compound: MgCu2P2O8
Source: the Alexandria database
Functional: PBEsol
Structure: relaxed

M_tot in μB per atom: 0.16
E_form (uncorrected) in eV/f.u.: -23.9
Space-group type: P1

abc: 4.8333 5.2843 6.2998
angles: 71.81 87.05 68.81
With the nearest neighbours (Å) after each atom.
Sites, in units of the cell vectors:
1 O 0.2346 0.2197 0.0037  1 P 1.56
2 O 0.1492 0.6467 0.6537  1 P 1.53
3 O 0.3887 0.1449 0.6363  1 P 1.56
4 O 0.3288 0.6448 0.1729  1 P 1.56
5 O 0.6687 0.3520 0.8317  1 P 1.55
6 O 0.8473 0.3437 0.3416  1 P 1.52
7 O 0.6109 0.8501 0.3663  1 P 1.56
8 O 0.7668 0.7754 0.9974  1 P 1.58
9 Mg 0.2830 0.2502 0.3097  5 O 2.00-2.08
10 P 0.6399 0.6473 0.2250  4 O 1.52-1.58
11 P 0.3613 0.3451 0.7794  4 O 1.53-1.56
12 Cu 0.7233 0.7790 0.6843  4 O 1.94-1.99
13 Cu 0.9974 0.0011 0.9981  4 O 1.90-2.01